Entry 1:
Crystalline SrPtAu at its relaxed geometry. Source: Alexandria via LeMat-Bulk, functional PBE.

Results
Space-group type   F-43m (216)

abc: 4.819 4.819 4.819
angles: 60.00 60.00 60.00
Positions (direct):
1 Au 0.500 0.500 0.500
2 Pt 0.250 0.250 0.250
3 Sr 0.000 0.000 0.000

Entry 2:
Crystalline Sr3PtAu2 at its relaxed geometry. Source: Alexandria via LeMat-Bulk, functional PBE.

Results
Space-group type   Cmmm (65)

abc: 5.353 8.439 7.621
angles: 90.00 90.00 71.51
Positions (direct):
1 Sr 0.830 0.340 0.761
2 Sr 0.500 0.000 0.244
3 Sr 0.170 0.660 0.239
4 Sr 0.830 0.340 0.239
5 Sr 0.170 0.660 0.761
6 Sr 0.500 0.000 0.756
7 Pt 0.337 0.327 0.000
8 Pt 0.663 0.673 0.000
9 Au 0.000 0.000 0.000
10 Au 0.000 0.000 0.500
11 Au 0.334 0.332 0.500
12 Au 0.666 0.668 0.500

Entry 3:
Crystalline SrPt2Au at its relaxed geometry. Source: Alexandria via LeMat-Bulk, functional PBE.

Results
Space-group type   Fm-3m (225)

abc: 4.856 4.856 4.856
angles: 60.00 60.00 60.00
Positions (direct):
1 Sr 0.000 0.000 0.000
2 Au 0.500 0.500 0.500
3 Pt 0.250 0.250 0.250
4 Pt 0.750 0.750 0.750

Entry 4:
Crystalline Sr2PtAu at its relaxed geometry. Source: Alexandria via LeMat-Bulk, functional PBE.

Results
Space-group type   I-42d (122)

abc: 8.119 8.119 6.882
angles: 53.85 53.85 90.00
Positions (direct):
1 Sr 0.608 0.125 0.250
2 Sr 0.142 0.625 0.250
3 Sr 0.375 0.392 0.750
4 Sr 0.875 0.858 0.750
5 Au 0.000 0.000 0.000
6 Au 0.750 0.250 0.500
7 Pt 0.500 0.500 0.000
8 Pt 0.250 0.750 0.500

no.,density of states at the Fermi level (states/eV/cell),formation energy (eV per atom)
1,2.2,-0.457
2,6.6,-0.752
3,1.9,-0.203
4,4.9,-0.468